1.
Density functional theory data (GGA-PBE) for PNF2 after structural relaxation.

The structure in POSCAR format:
```
PNF2
1.0
1.2888 -3.2049 1.8311
-2.4630 -2.1506 2.1434
-1.0983 -3.5389 -1.2471
P N F
1 1 2
Direct
0.5000 0.5000 0.5000
0.0000 0.0000 0.0000
0.2500 0.2500 0.2500
0.7500 0.7500 0.7500
```

Calculated values
space group	Fm-3m
formation energy (no corrections)	0.883	eV per atom

2.
Density functional theory data (GGA-PBE) for Li4Sn3S8 after structural relaxation.

The structure in POSCAR format:
```
Li4Sn3S8
1.0
6.5514 0.0000 3.5333
2.3229 6.1257 3.5333
0.0308 0.0213 7.7833
Li Sn S
4 3 8
Direct
0.0000 0.0000 0.0000
0.3667 0.3667 0.9000
0.5000 0.5000 0.5000
0.6333 0.6333 0.1000
0.5000 0.0000 0.5000
0.0000 0.0000 0.5000
0.0000 0.5000 0.5000
0.2424 0.2424 0.2728
0.2301 0.7486 0.2727
0.7486 0.7486 0.2727
0.7486 0.2301 0.2727
0.7576 0.7576 0.7272
0.7699 0.2514 0.7273
0.2514 0.2514 0.7273
0.2514 0.7699 0.7273
```

Calculated values
space group	R-3m
formation energy (no corrections)	-0.779	eV per atom

3.
Density functional theory data (GGA-PBE) for KMgMo2 after structural relaxation.

The structure in POSCAR format:
```
KMgMo2
1.0
5.5798 0.0180 0.0741
-2.4711 5.5650 -0.0391
0.6376 0.6220 2.5568
K Mg Mo
1 1 2
Direct
0.0000 0.5000 0.5000
0.5000 0.5000 0.0000
0.0000 0.0000 0.0000
0.5000 0.0000 0.5000
```

Calculated values
raw total energy	-19.7	eV/cell
space group	C2/m

4.
Density functional theory data (GGA-PBE) for LaBe3Tc after structural relaxation.

The structure in POSCAR format:
```
LaBe3Tc
1.0
-1.8793 1.1622 4.0168
2.9538 -2.7482 2.1771
2.9598 3.4805 0.3778
Be Tc La
3 1 1
Direct
0.0000 0.5000 0.0000
0.0000 0.0000 0.5000
0.5000 0.0000 0.0000
0.5000 0.5000 0.5000
0.0000 0.0000 0.0000
```

Calculated values
raw total energy	-13.7	eV/cell
space group	Pm-3m

5.
Density functional theory data (GGA-PBE) for Sr2YSb after structural relaxation.

The structure in POSCAR format:
```
Sr2YSb
1.0
-3.9891 2.1242 3.5862
-5.6042 -0.7010 -1.1778
-3.1958 -3.5777 3.2052
Sb Sr Y
1 2 1
Direct
0.5000 0.5000 0.5000
0.0000 0.0000 0.0000
0.2500 0.2500 0.2500
0.7500 0.7500 0.7500
```

Calculated values
space group	F-43m
formation energy (no corrections)	-0.142	eV per atom

6.
Density functional theory data (GGA-PBE) for NaSm2F8 after structural relaxation.

The structure in POSCAR format:
```
NaSm2F8
1.0
-2.1237 1.9729 2.5884
-2.8356 -4.8359 1.3594
6.7870 0.0712 2.5970
Na Sm F
1 2 8
Direct
0.5000 0.0000 0.0000
0.1694 0.6776 0.3388
0.8306 0.3224 0.6612
0.5986 0.4438 0.1972
0.3235 0.0468 0.6470
0.2150 0.3264 0.4299
0.0229 0.7593 0.0458
0.7850 0.6736 0.5701
0.6765 0.9532 0.3530
0.4014 0.5562 0.8028
0.9771 0.2407 0.9542
```

Calculated values
space group	C2/m
formation energy (no corrections)	-3.444	eV per atom

7.
Density functional theory data (GGA-PBE) for BeZnTe2 after structural relaxation.

The structure in POSCAR format:
```
BeZnTe2
1.0
9.7483 0.3808 0.0000
8.1238 5.4018 0.0000
-8.9360 -2.8913 2.6386
Be Zn Te
1 1 2
Direct
0.7500 0.2500 0.5000
0.5000 0.5000 0.0000
0.0000 0.0000 0.0000
0.2500 0.7500 0.5000
```

Calculated values
space group	I-4m2
formation energy (no corrections)	0.257	eV per atom

8.
Density functional theory data (GGA-PBE) for Cs2GaSCl after structural relaxation.

The structure in POSCAR format:
```
Cs2GaSCl
1.0
-0.4173 -6.2317 1.3803
-0.5388 -1.1438 -5.3266
6.3517 -0.5419 -0.5261
Cs S Ga Cl
2 1 1 1
Direct
0.0000 0.0000 0.5000
0.5000 0.0000 0.0000
0.5000 0.5000 0.5000
0.0000 0.5000 0.0000
0.0000 0.0000 0.0000
```

Calculated values
space group	P4/mmm
formation energy (no corrections)	-0.626	eV per atom

9.
Density functional theory data (GGA-PBE) for PuAlCuO6 after structural relaxation.

The structure in POSCAR format:
```
PuAlCuO6
1.0
5.1287 0.0000 0.0000
-2.5643 4.4416 0.0000
0.0000 0.0000 8.8670
Pu Al Cu O
2 2 2 12
Direct
0.3333 0.6667 0.2500
0.6667 0.3333 0.7500
0.6667 0.3333 0.2500
0.3333 0.6667 0.7500
0.0000 0.0000 0.0000
0.0000 0.0000 0.5000
0.6612 0.6466 0.1323
0.9854 0.3388 0.1323
0.3388 0.9854 0.6323
0.0146 0.6612 0.8677
0.3534 0.3388 0.3677
0.9854 0.6466 0.3677
0.6466 0.9854 0.8677
0.6612 0.0146 0.3677
0.0146 0.3534 0.6323
0.3534 0.0146 0.1323
0.6466 0.6612 0.6323
0.3388 0.3534 0.8677
```

Calculated values
space group	P-31c
formation energy (no corrections)	-1.915	eV per atom

10.
Density functional theory data (GGA-PBE) for AsSe3 after structural relaxation.

The structure in POSCAR format:
```
AsSe3
1.0
-7.8349 2.0847 2.0304
-0.6700 -0.0313 -2.5534
-1.9096 -5.0936 -2.1391
As Se
1 3
Direct
0.0000 0.0000 0.0000
0.5000 0.7591 0.7431
0.0000 0.5000 0.5000
0.5000 0.2409 0.2569
```

Calculated values
space group	P2/m
formation energy (no corrections)	0.275	eV per atom

11.
Density functional theory data (GGA-PBE) for Ba2TaPb after structural relaxation.

The structure in POSCAR format:
```
Ba2TaPb
1.0
-0.1362 -1.9607 3.4320
0.8414 -3.3697 -1.8917
9.4707 1.6308 1.3075
Pb Ba Ta
1 2 1
Direct
0.0000 0.0000 0.5762
0.0000 0.0000 0.9270
0.5000 0.5000 0.3282
0.5000 0.5000 0.6685
```

Calculated values
raw total energy	-17.7	eV/cell
space group	P4mm

12.
Density functional theory data (GGA-PBE) for MgZnCd4Ag after structural relaxation.

The structure in POSCAR format:
```
MgZnCd4Ag
1.0
-2.6199 -4.5796 2.1040
5.2730 -1.9885 0.7110
0.2902 4.0525 9.1821
Mg Zn Cd Ag
2 2 8 2
Direct
0.6442 0.3558 0.2500
0.3558 0.6442 0.7500
0.5000 0.5000 0.5000
0.5000 0.5000 0.0000
0.4806 0.1458 0.7500
0.8542 0.5194 0.7500
0.8278 0.1722 0.0041
0.8278 0.1722 0.4959
0.1722 0.8278 0.9959
0.1722 0.8278 0.5041
0.5194 0.8542 0.2500
0.1458 0.4806 0.2500
0.0153 0.9847 0.2500
0.9847 0.0153 0.7500
```

Calculated values
raw total energy	-17.7	eV/cell
space group	Cmcm